Entry 1:
Here is an optimized crystal structure of NdMg4Cd5 from Alexandria via LeMat-Bulk. Energies are from PBE-GGA.

The space group is P4/mmm (No. 123) and the conventional cell measures 3.6476, 3.6476 and 17.2627 Å, with angles of 90.00, 90.00 and 90.00 degrees. The inequivalent atoms are Nd at (0.0000, 0.0000, 0.0000), Mg at (0.0000, 0.0000, 0.2162), Mg at (0.0000, 0.0000, 0.4056), Cd at (0.5000, 0.5000, 0.1229), Cd at (0.5000, 0.5000, 0.3118) and Cd at (0.5000, 0.5000, 0.5000).

The energy of formation comes out at -0.161 eV per atom. As for the density of states at the Fermi level: 3.6 states/eV/f.u.

Entry 2:
Here is an optimized crystal structure of NdMg2Cd6 from Alexandria via LeMat-Bulk. Energies are from PBE-GGA.

The space group is P6/mmm (No. 191) and the conventional cell measures 8.8477, 8.8477 and 3.1518 Å, with angles of 90.00, 90.00 and 120.00 degrees. The inequivalent atoms are Nd at (0.0000, 0.0000, 0.0000), Mg at (0.3333, 0.6667, 0.0000) and Cd at (0.0000, 0.3385, 0.5000).

The energy of formation comes out at -0.140 eV per atom. As for the density of states at the Fermi level: 4.8 states/eV/f.u. For the distance to the lowest polymorph of the same formula, the calculation gives 0 meV/atom.